DFT (GGA-PBE) results for an optimized crystal structure of MnBeZn2.

extended XYZ file:
```
4
Lattice="4.549 0.016 0.000 1.577 4.267 0.000 -3.063 -2.142 2.594" Properties=species:S:1:pos:R:3 pbc="T T T"
Zn 3.063 2.142 0.000
Zn 0.000 0.000 0.000
Mn 2.275 0.008 1.297
Be 0.788 2.134 1.297
```

Properties
total magnetic moment	3.1	μB per formula unit
E_form	119	meV/atom
E_tot	-15.0	eV/cell